This record from the Alexandria database describes a relaxed structure of EuGdInSn. The functional is GGA-PBE.

Calculated values
total magnetic moment: 0.14 μB/cell
E: -132.9 eV per cell
V: 28.761 Å³ per atom
formation enthalpy at 0 K: -0.533 eV per atom

Lattice parameters (Å, degrees): 7.720 7.720 7.720 90.00 90.00 90.00
Space group F-43m (No. 216)
Symmetry-distinct sites (fractional):
1 Eu 0.000 0.000 0.000 x4
2 Gd 0.000 0.000 0.500 x4
3 In 0.250 0.250 0.250 x4
4 Sn 0.250 0.250 0.750 x4


This record from the Alexandria database describes a relaxed structure of Os2BrF8. The functional is GGA-PBE.

Calculated values
total magnetic moment: 10.12 μB/cell
E: -108.1 eV per cell
V: 18.715 Å³ per atom
raw formation energy: -1.357 eV per atom

Lattice parameters (Å, degrees): 6.032 9.162 7.535 90.00 98.65 90.00
Space group C2/m (No. 12)
Symmetry-distinct sites (fractional):
1 Os 0.133 0.000 0.205 x4
2 Br 0.000 0.000 0.500 x2
3 F 0.062 0.500 0.692 x4
4 F 0.125 0.206 0.197 x8
5 F 0.191 0.000 0.948 x4


This record from the Alexandria database describes a relaxed structure of LaNd5Tl2. The functional is GGA-PBE.

Calculated values
total magnetic moment: 0.00 μB/cell
energy above the lowest structure with this stoichiometry: 0.0000 eV/atom
E: -69.3 eV per cell
V: 33.268 Å³ per atom
formation enthalpy at 0 K: -0.141 eV per atom

Lattice parameters (Å, degrees): 3.777 10.983 12.830 90.00 90.00 90.00
Space group Immm (No. 71)
Symmetry-distinct sites (fractional):
1 La 0.000 0.000 0.000 x2
2 Nd 0.000 0.222 0.361 x8
3 Nd 0.000 0.500 0.000 x2
4 Tl 0.000 0.500 0.269 x4


This record from the Alexandria database describes a relaxed structure of CoReMo2H. The functional is GGA-PBE.

Calculated values
total magnetic moment: 0.00 μB/cell
energy above the lowest structure with this stoichiometry: 0.0000 eV/atom
E: -44.3 eV per cell
V: 11.791 Å³ per atom

Lattice parameters (Å, degrees): 3.993 3.993 3.697 90.00 90.00 90.00
Space group P4/mmm (No. 123)
Symmetry-distinct sites (fractional):
1 Co 0.000 0.000 0.000 x1
2 Re 0.500 0.500 0.000 x1
3 Mo 0.000 0.500 0.500 x2
4 H 0.000 0.000 0.500 x1


This record from the Alexandria database describes a relaxed structure of Ag2AsPt. The functional is GGA-PBE.

Calculated values
total magnetic moment: 0.00 μB/cell
E: -16.1 eV per cell
V: 17.303 Å³ per atom
formation enthalpy at 0 K: 0.085 eV per atom

Lattice parameters (Å, degrees): 3.946 3.946 4.445 90.00 90.00 90.00
Space group P4/mmm (No. 123)
Symmetry-distinct sites (fractional):
1 Ag 0.000 0.500 0.000 x2
2 As 0.000 0.000 0.500 x1
3 Pt 0.500 0.500 0.500 x1


This record from the Alexandria database describes a relaxed structure of YHg3Os. The functional is GGA-PBE.

Calculated values
total magnetic moment: 0.00 μB/cell
energy above the lowest structure with this stoichiometry: 0.0000 eV/atom
E: -15.7 eV per cell
V: 27.556 Å³ per atom
formation enthalpy at 0 K: 0.580 eV per atom

Lattice parameters (Å, degrees): 5.165 5.165 5.165 90.00 90.00 90.00
Space group Pm-3m (No. 221)
Symmetry-distinct sites (fractional):
1 Y 0.000 0.000 0.000 x1
2 Hg 0.000 0.500 0.500 x3
3 Os 0.500 0.500 0.500 x1


This record from the Alexandria database describes a relaxed structure of Nd3Ni2Ge2. The functional is GGA-PBE.

Calculated values
total magnetic moment: 0.00 μB/cell
energy above the lowest structure with this stoichiometry: 0.0100 eV/atom
E: -158.1 eV per cell
V: 21.303 Å³ per atom
formation enthalpy at 0 K: -0.631 eV per atom

Lattice parameters (Å, degrees): 5.691 8.070 12.990 90.00 90.00 90.00
Space group Pbcm (No. 57)
Symmetry-distinct sites (fractional):
1 Nd 0.139 0.108 0.100 x8
2 Nd 0.360 0.747 0.750 x4
3 Ni 0.387 0.035 0.589 x8
4 Ge 0.160 0.096 0.750 x4
5 Ge 0.352 0.750 0.000 x4


This record from the Alexandria database describes a relaxed structure of CdInGa2. The functional is GGA-PBE.

Calculated values
total magnetic moment: 0.00 μB/cell
energy above the lowest structure with this stoichiometry: 0.0678 eV/atom
E: -36.9 eV per cell
V: 23.448 Å³ per atom
formation enthalpy at 0 K: 0.121 eV per atom

Lattice parameters (Å, degrees): 7.955 7.955 5.928 90.00 90.00 90.00
Space group I-42d (No. 122)
Symmetry-distinct sites (fractional):
1 Cd 0.000 0.000 0.000 x4
2 In 0.000 0.000 0.500 x4
3 Ga 0.244 0.250 0.125 x8


This record from the Alexandria database describes a relaxed structure of SrZr2Tl. The functional is GGA-PBE.

Calculated values
total magnetic moment: 10.75 μB/cell
energy above the lowest structure with this stoichiometry: 0.2862 eV/atom
E: -79.2 eV per cell
V: 27.241 Å³ per atom
formation enthalpy at 0 K: 0.337 eV per atom

Lattice parameters (Å, degrees): 7.582 7.582 7.582 90.00 90.00 90.00
Space group F-43m (No. 216)
Symmetry-distinct sites (fractional):
1 Sr 0.000 0.000 0.000 x4
2 Zr 0.000 0.000 0.500 x4
3 Zr 0.250 0.250 0.250 x4
4 Tl 0.250 0.250 0.750 x4


This record from the Alexandria database describes a relaxed structure of DyAl11Ni. The functional is GGA-PBE.

Calculated values
total magnetic moment: 0.00 μB/cell
E: -108.0 eV per cell
V: 16.914 Å³ per atom
formation enthalpy at 0 K: -0.189 eV per atom

Lattice parameters (Å, degrees): 5.136 12.542 7.189 90.00 108.26 90.00
Space group C2/m (No. 12)
Symmetry-distinct sites (fractional):
1 Dy 0.000 0.000 0.000 x2
2 Al 0.000 0.000 0.500 x2
3 Al 0.106 0.393 0.229 x8
4 Al 0.182 0.174 0.359 x8
5 Al 0.250 0.250 0.000 x4
6 Ni 0.000 0.500 0.500 x2


This record from the Alexandria database describes a relaxed structure of ScTiPbS2. The functional is GGA-PBE.

Calculated values
total magnetic moment: 3.19 μB/cell
E: -21.6 eV per cell
V: 30.003 Å³ per atom
raw formation energy: 0.915 eV per atom

Lattice parameters (Å, degrees): 5.250 5.250 5.443 90.00 90.00 90.00
Space group P4/mmm (No. 123)
Symmetry-distinct sites (fractional):
1 Sc 0.000 0.000 0.000 x1
2 Ti 0.500 0.500 0.000 x1
3 Pb 0.000 0.000 0.500 x1
4 S 0.000 0.500 0.500 x2


This record from the Alexandria database describes a relaxed structure of Sc2Mn2V. The functional is GGA-PBE.

Calculated values
total magnetic moment: 2.91 μB/cell
E: -79.5 eV per cell
V: 16.360 Å³ per atom
formation enthalpy at 0 K: 0.069 eV per atom

Lattice parameters (Å, degrees): 6.038 6.038 4.488 90.00 90.00 90.00
Space group P4/mbm (No. 127)
Symmetry-distinct sites (fractional):
1 Sc 0.176 0.324 0.000 x4
2 Mn 0.130 0.630 0.500 x4
3 V 0.000 0.000 0.500 x2